DFT (GGA-PBE) results for an optimized crystal structure of MgCoIN2.

Summary:
- Energy relative to the elements, uncorrected: 0.956 eV/atom
- Calculated volume: 17.680 A^3/atom
- Final energy: -4.42 eV per atom
- DOS(E_F): 2.84 states/eV/cell
- SG: P4/mmm, No. 123
- E above lowest polymorph: 0.0 kJ/mol of formula units
- Crystal system: tetragonal

Cell lengths 3.7342, 3.7342, 6.3394 Å; angles 90.00, 90.00, 90.00 degrees
Closest atoms and distances in Å follow each position.
Fractional positions:
Mg (0.5000, 0.5000, 0.5000)  4 I 2.64
N (0.5000, 0.0000, 0.0000)  2 Co 1.87
N (0.0000, 0.5000, 0.0000)  2 Co 1.87
I (0.0000, 0.0000, 0.5000)  4 Mg 2.64
Co (0.0000, 0.0000, 0.0000)  4 N 1.87